Record 1
DFT (PBE) results for a relaxed structure of DyEr2Mg.

Properties
- DOS(E_F) (states/eV per atom) = 1.209
- distance to the lowest polymorph of the same formula (kJ/mol of atoms) = 0.32
- total magnetic moment (μB per formula unit) = 0.00
- SG = No. 123
- energy of formation from the pure elements (eV/f.u.) = -0.10

extended XYZ file:
```
4
Lattice="3.544 0.000 0.000 0.000 3.544 0.000 0.000 0.000 9.252" Properties=species:S:1:pos:R:3 pbc="T T T"
Mg 1.772 1.772 0.000
Dy 1.772 1.772 4.626
Er 0.000 0.000 7.061
Er 0.000 0.000 2.191
```

=====

Record 2
DFT (PBE) results for a relaxed structure of Dy2ErMg.

Properties
- DOS(E_F) (states/eV per atom) = 0.983
- distance to the lowest polymorph of the same formula (kJ/mol of atoms) = 0.00
- total magnetic moment (μB per formula unit) = 0.00
- SG = No. 12
- energy of formation from the pure elements (eV/f.u.) = -0.12

extended XYZ file:
```
8
Lattice="4.846 0.014 -1.342 -0.390 4.830 -1.342 0.151 0.164 9.922" Properties=species:S:1:pos:R:3 pbc="T T T"
Dy 3.908 4.248 0.027
Dy 0.699 0.760 7.210
Dy 2.499 0.089 4.290
Dy -0.119 2.497 4.290
Er 1.676 1.822 1.353
Er 2.932 3.187 5.884
Mg 0.919 3.626 -1.342
Mg 3.537 1.218 -1.342
```

=====

Record 3
DFT (PBE) results for a relaxed structure of Dy2Er2Mg5.

Properties
- DOS(E_F) (states/eV per atom) = 0.894
- total magnetic moment (μB per formula unit) = 0.00
- SG = No. 46
- energy of formation from the pure elements (eV/f.u.) = 0.78

extended XYZ file:
```
18
Lattice="11.229 0.000 0.000 0.000 6.319 0.000 -5.615 -3.159 6.979" Properties=species:S:1:pos:R:3 pbc="T T T"
Dy 0.000 0.172 0.000
Dy 5.615 3.331 0.000
Dy 0.122 0.574 3.489
Dy 5.493 3.733 3.489
Er 0.031 3.520 1.723
Er 5.584 0.360 5.256
Er 5.584 0.360 1.723
Er 0.031 3.520 5.256
Mg -2.769 1.570 6.156
Mg 8.384 4.729 0.823
Mg -2.845 -1.590 6.156
Mg 8.460 1.570 0.823
Mg 2.712 5.303 2.021
Mg 2.903 2.144 4.957
Mg 2.903 2.144 2.021
Mg 2.712 -1.015 4.957
Mg -2.668 2.708 3.489
Mg 8.283 -0.451 3.489
```

=====

Record 4
DFT (PBE) results for a relaxed structure of Dy3ErMg2.

Properties
- DOS(E_F) (states/eV per atom) = 1.379
- total magnetic moment (μB per formula unit) = 0.00
- SG = No. 123
- energy of formation from the pure elements (eV/f.u.) = -0.22

extended XYZ file:
```
6
Lattice="-3.464 0.544 -1.037 -1.144 -2.262 2.636 -0.873 9.887 8.104" Properties=species:S:1:pos:R:3 pbc="T T T"
Dy 0.000 0.000 0.000
Dy -0.600 6.795 5.570
Dy -0.273 3.092 2.534
Er -2.741 4.084 4.852
Mg -3.042 7.502 7.653
Mg -2.439 0.667 2.050
```

=====

Record 5
DFT (PBE) results for a relaxed structure of Dy4Er4Mg.

Properties
- DOS(E_F) (states/eV per atom) = 1.608
- distance to the lowest polymorph of the same formula (kJ/mol of atoms) = 2.48
- total magnetic moment (μB per formula unit) = 0.00
- SG = No. 139
- energy of formation from the pure elements (eV/f.u.) = 0.24

extended XYZ file:
```
9
Lattice="4.986 0.000 0.000 2.493 7.393 0.000 2.493 0.000 7.393" Properties=species:S:1:pos:R:3 pbc="T T T"
Dy 4.986 2.466 2.466
Dy 4.986 4.928 4.927
Dy 2.493 4.927 2.466
Dy 7.479 2.466 4.928
Er 7.479 4.928 7.393
Er 2.493 2.465 0.000
Er 4.986 0.000 4.928
Er 4.986 7.393 2.465
Mg 0.000 0.000 0.000
```

=====

Record 6
DFT (PBE) results for a relaxed structure of DyEr2Mg2.

Properties
- DOS(E_F) (states/eV per atom) = 1.102
- distance to the lowest polymorph of the same formula (kJ/mol of atoms) = 0.00
- total magnetic moment (μB per formula unit) = 0.00
- SG = No. 63
- energy of formation from the pure elements (eV/f.u.) = -0.31

extended XYZ file:
```
10
Lattice="-1.556 -3.007 1.460 2.495 0.990 4.697 -10.069 9.127 3.425" Properties=species:S:1:pos:R:3 pbc="T T T"
Dy -6.449 4.539 7.143
Dy -2.680 2.570 2.440
Er 0.925 1.407 3.886
Er -10.055 5.702 5.697
Er -3.274 4.360 5.494
Er -5.855 2.749 4.089
Mg -1.936 1.370 5.413
Mg -7.193 5.740 4.169
Mg -7.807 7.544 7.231
Mg -1.322 -0.435 2.352
```

=====

Record 7
DFT (PBE) results for a relaxed structure of DyEr5Mg4.

Properties
- DOS(E_F) (states/eV per atom) = 1.602
- total magnetic moment (μB per formula unit) = 0.00
- SG = No. 123
- energy of formation from the pure elements (eV/f.u.) = -0.39

extended XYZ file:
```
10
Lattice="-2.376 1.996 1.975 -1.199 -3.061 1.650 14.122 2.347 14.616" Properties=species:S:1:pos:R:3 pbc="T T T"
Dy 0.000 0.000 0.000
Er -0.138 -0.258 3.521
Er 2.599 0.197 6.353
Er 5.273 0.641 9.121
Er 7.947 1.086 11.888
Er 10.684 1.541 14.721
Mg 3.034 0.504 3.140
Mg 5.714 0.950 5.914
Mg 8.407 1.398 8.701
Mg 11.088 1.843 11.475
```

=====

Record 8
DFT (PBE) results for a relaxed structure of Dy5Er6Mg.

Properties
- DOS(E_F) (states/eV per atom) = 1.482
- total magnetic moment (μB per formula unit) = 0.00
- SG = No. 12
- energy of formation from the pure elements (eV/f.u.) = 0.31

extended XYZ file:
```
12
Lattice="7.699 1.277 -0.594 -0.530 7.786 -0.594 -0.254 -0.321 6.056" Properties=species:S:1:pos:R:3 pbc="T T T"
Mg 0.000 0.000 0.000
Er 6.558 5.472 3.627
Er 3.099 1.099 1.241
Er 5.309 6.712 0.613
Er 1.605 2.029 4.255
Er 3.816 7.641 3.627
Er 0.357 3.269 1.241
Dy 6.204 2.197 2.434
Dy 4.948 3.453 -0.594
Dy 3.457 4.370 2.434
Dy 2.221 5.610 -0.594
Dy 0.710 6.544 2.434
```

=====

Record 9
DFT (PBE) results for a relaxed structure of DyErMg4.

Properties
- DOS(E_F) (states/eV per atom) = 1.259
- distance to the lowest polymorph of the same formula (kJ/mol of atoms) = 0.00
- total magnetic moment (μB per formula unit) = 0.00
- SG = No. 216
- energy of formation from the pure elements (eV/f.u.) = -0.37

extended XYZ file:
```
6
Lattice="-1.388 -5.726 1.225 1.783 -4.388 -3.712 4.303 -3.837 1.724" Properties=species:S:1:pos:R:3 pbc="T T T"
Mg 0.784 -6.801 -1.339
Mg 2.045 -6.525 1.379
Mg 2.936 -8.719 -0.477
Mg 3.630 -5.856 -1.089
Dy 1.174 -3.488 -0.191
Er 0.000 0.000 0.000
```

=====

Record 10
DFT (PBE) results for a relaxed structure of Dy3ErMg.

Properties
- DOS(E_F) (states/eV per atom) = 1.379
- distance to the lowest polymorph of the same formula (kJ/mol of atoms) = 20.41
- total magnetic moment (μB per formula unit) = 0.00
- SG = No. 11
- energy of formation from the pure elements (eV/f.u.) = 0.97

extended XYZ file:
```
10
Lattice="3.514 -0.678 0.000 -3.790 8.978 0.000 0.000 0.000 11.107" Properties=species:S:1:pos:R:3 pbc="T T T"
Dy -2.466 6.211 5.474
Dy 2.190 2.089 5.633
Dy -2.466 6.211 0.079
Dy 2.190 2.089 11.028
Dy -0.875 5.131 8.330
Dy 0.600 3.169 2.777
Er -2.126 8.359 8.330
Er 1.851 -0.060 2.777
Mg 0.399 2.272 8.330
Mg -0.675 6.028 2.777
```

=====

Record 11
DFT (PBE) results for a relaxed structure of DyEr3Mg7.

Properties
- DOS(E_F) (states/eV per atom) = 0.863
- distance to the lowest polymorph of the same formula (kJ/mol of atoms) = 9.81
- total magnetic moment (μB per formula unit) = 0.00
- SG = No. 12
- energy of formation from the pure elements (eV/f.u.) = 2.25

extended XYZ file:
```
11
Lattice="5.903 -0.776 -0.994 -3.221 7.630 1.536 -3.221 -0.359 7.775" Properties=species:S:1:pos:R:3 pbc="T T T"
Dy -0.270 3.247 4.159
Er -3.221 6.098 2.732
Er 2.952 -0.388 -0.497
Er -3.221 1.172 6.579
Mg 1.148 1.372 1.758
Mg -0.183 -0.052 4.162
Mg -0.356 2.444 7.358
Mg -0.183 4.051 0.959
Mg -3.221 3.635 4.655
Mg -0.356 6.546 4.155
Mg -1.688 5.122 6.559
```

=====

Record 12
DFT (PBE) results for a relaxed structure of Dy3ErMg3.

Properties
- DOS(E_F) (states/eV per atom) = 0.966
- total magnetic moment (μB per formula unit) = 0.00
- SG = No. 12
- energy of formation from the pure elements (eV/f.u.) = 0.60

extended XYZ file:
```
14
Lattice="-4.855 -3.454 4.887 -1.165 -5.304 -5.468 5.216 -3.759 2.530" Properties=species:S:1:pos:R:3 pbc="T T T"
Dy -2.086 -11.593 1.327
Dy -1.111 -2.676 3.080
Dy 0.732 -3.600 -2.094
Dy 0.307 -9.841 -1.131
Dy -1.536 -8.918 4.043
Dy 1.282 -0.924 0.622
Er 3.345 -6.474 2.348
Er -4.149 -6.043 -0.399
Mg 0.969 -4.262 1.106
Mg 0.245 -6.583 -0.840
Mg -1.048 -5.934 2.789
Mg -2.110 -4.830 -2.816
Mg -3.910 -3.928 2.235
Mg -1.773 -8.255 0.843
```